Compound: Sr8Tl2Ir
Source: the Alexandria database
Functional: PBE-GGA
Structure: relaxed

Values from the calculation:
- uncorrected energy (eV/atom) = -2.659

CIF file:
```
data_Sr8Tl2Ir
_cell_length_a 20.0546
_cell_length_b 5.8173
_cell_length_c 7.6391
_cell_angle_alpha 90.00
_cell_angle_beta 107.85
_cell_angle_gamma 90.00
_space_group_name_H-M_alt 'C 1 2/m 1'
_space_group_IT_number 12
_space_group_name_Hall '-C 2y'
loop_
_atom_site_label
_atom_site_type_symbol
_atom_site_fract_x
_atom_site_fract_y
_atom_site_fract_z
Sr1 Sr 0.0245 0.0000 0.2995
Sr2 Sr 0.0904 0.5000 0.9069
Sr3 Sr 0.1466 0.5000 0.4513
Sr4 Sr 0.2117 0.0000 0.7965
Tl1 Tl 0.1821 0.0000 0.2139
Ir1 Ir 0.0000 0.5000 0.5000
```

***

Compound: SrTlIr
Source: the Alexandria database
Functional: PBE-GGA
Structure: relaxed

Values from the calculation:
- uncorrected energy (eV/atom) = -4.301

CIF file:
```
data_SrTlIr
_cell_length_a 6.9190
_cell_length_b 6.9190
_cell_length_c 6.9190
_cell_angle_alpha 90.00
_cell_angle_beta 90.00
_cell_angle_gamma 90.00
_space_group_name_H-M_alt 'F -4 3 m'
_space_group_IT_number 216
_space_group_name_Hall 'F -4 2 3'
loop_
_atom_site_label
_atom_site_type_symbol
_atom_site_fract_x
_atom_site_fract_y
_atom_site_fract_z
Sr1 Sr 0.0000 0.0000 0.0000
Tl1 Tl 0.0000 0.0000 0.5000
Ir1 Ir 0.2500 0.2500 0.7500
```

***

Compound: Sr2TlIr
Source: the Alexandria database
Functional: PBE-GGA
Structure: relaxed

Values from the calculation:
- uncorrected energy (eV/atom) = -3.628

CIF file:
```
data_Sr2TlIr
_cell_length_a 3.7375
_cell_length_b 3.7375
_cell_length_c 8.9197
_cell_angle_alpha 90.00
_cell_angle_beta 90.00
_cell_angle_gamma 90.00
_space_group_name_H-M_alt 'P 4 m m'
_space_group_IT_number 99
_space_group_name_Hall 'P 4 -2'
loop_
_atom_site_label
_atom_site_type_symbol
_atom_site_fract_x
_atom_site_fract_y
_atom_site_fract_z
Sr1 Sr 0.0000 0.0000 0.0000
Sr2 Sr 0.5000 0.5000 0.4121
Tl1 Tl 0.0000 0.0000 0.6451
Ir1 Ir 0.5000 0.5000 0.7854
```

***

Compound: SrTlIr4
Source: the Alexandria database
Functional: PBE-GGA
Structure: relaxed

Values from the calculation:
- uncorrected energy (eV/atom) = -6.487

CIF file:
```
data_SrTlIr4
_cell_length_a 7.6559
_cell_length_b 7.6559
_cell_length_c 7.6559
_cell_angle_alpha 90.00
_cell_angle_beta 90.00
_cell_angle_gamma 90.00
_space_group_name_H-M_alt 'F -4 3 m'
_space_group_IT_number 216
_space_group_name_Hall 'F -4 2 3'
loop_
_atom_site_label
_atom_site_type_symbol
_atom_site_fract_x
_atom_site_fract_y
_atom_site_fract_z
Sr1 Sr 0.0000 0.0000 0.0000
Tl1 Tl 0.2500 0.2500 0.7500
Ir1 Ir 0.1248 0.1248 0.3752
```

***

Compound: Sr2TlIr
Source: the Alexandria database
Functional: PBE-GGA
Structure: relaxed

Values from the calculation:
- uncorrected energy (eV/atom) = -3.752

CIF file:
```
data_Sr2TlIr
_cell_length_a 3.6564
_cell_length_b 5.1977
_cell_length_c 12.7769
_cell_angle_alpha 90.00
_cell_angle_beta 90.00
_cell_angle_gamma 90.00
_space_group_name_H-M_alt 'I m m 2'
_space_group_IT_number 44
_space_group_name_Hall 'I 2 -2'
loop_
_atom_site_label
_atom_site_type_symbol
_atom_site_fract_x
_atom_site_fract_y
_atom_site_fract_z
Sr1 Sr 0.0000 0.0000 0.0000
Sr2 Sr 0.0000 0.5000 0.1985
Tl1 Tl 0.0000 0.5000 0.8278
Ir1 Ir 0.0000 0.0000 0.4973
```

***

Compound: Sr6TlIr
Source: the Alexandria database
Functional: PBE-GGA
Structure: relaxed

Values from the calculation:
- uncorrected energy (eV/atom) = -2.822

CIF file:
```
data_Sr6TlIr
_cell_length_a 7.9672
_cell_length_b 12.6498
_cell_length_c 7.6601
_cell_angle_alpha 90.00
_cell_angle_beta 104.90
_cell_angle_gamma 90.00
_space_group_name_H-M_alt 'C 1 2/m 1'
_space_group_IT_number 12
_space_group_name_Hall '-C 2y'
loop_
_atom_site_label
_atom_site_type_symbol
_atom_site_fract_x
_atom_site_fract_y
_atom_site_fract_z
Sr1 Sr 0.1985 0.1627 0.2390
Sr2 Sr 0.2413 0.5000 0.2103
Tl1 Tl 0.0000 0.5000 0.5000
Ir1 Ir 0.0000 0.0000 0.0000
```

***

Compound: Sr2TlIr
Source: the Alexandria database
Functional: PBE-GGA
Structure: relaxed

Values from the calculation:
- uncorrected energy (eV/atom) = -3.711

CIF file:
```
data_Sr2TlIr
_cell_length_a 7.6313
_cell_length_b 7.6313
_cell_length_c 7.6313
_cell_angle_alpha 90.00
_cell_angle_beta 90.00
_cell_angle_gamma 90.00
_space_group_name_H-M_alt 'F m -3 m'
_space_group_IT_number 225
_space_group_name_Hall '-F 4 2 3'
loop_
_atom_site_label
_atom_site_type_symbol
_atom_site_fract_x
_atom_site_fract_y
_atom_site_fract_z
Sr1 Sr 0.2500 0.2500 0.2500
Tl1 Tl 0.0000 0.0000 0.0000
Ir1 Ir 0.0000 0.0000 0.5000
```

***

Compound: Sr3TlIr
Source: the Alexandria database
Functional: PBE-GGA
Structure: relaxed

Values from the calculation:
- uncorrected energy (eV/atom) = -3.420

CIF file:
```
data_Sr3TlIr
_cell_length_a 5.8119
_cell_length_b 5.8119
_cell_length_c 5.8119
_cell_angle_alpha 90.00
_cell_angle_beta 90.00
_cell_angle_gamma 90.00
_space_group_name_H-M_alt 'P m -3 m'
_space_group_IT_number 221
_space_group_name_Hall '-P 4 2 3'
loop_
_atom_site_label
_atom_site_type_symbol
_atom_site_fract_x
_atom_site_fract_y
_atom_site_fract_z
Sr1 Sr 0.0000 0.0000 0.5000
Tl1 Tl 0.5000 0.5000 0.5000
Ir1 Ir 0.0000 0.0000 0.0000
```

***

Compound: SrTlIr
Source: the Alexandria database
Functional: PBE-GGA
Structure: relaxed

Values from the calculation:
- uncorrected energy (eV/atom) = -4.270

CIF file:
```
data_SrTlIr
_cell_length_a 3.4563
_cell_length_b 3.6574
_cell_length_c 11.7189
_cell_angle_alpha 90.00
_cell_angle_beta 90.00
_cell_angle_gamma 90.00
_space_group_name_H-M_alt 'I m m 2'
_space_group_IT_number 44
_space_group_name_Hall 'I 2 -2'
loop_
_atom_site_label
_atom_site_type_symbol
_atom_site_fract_x
_atom_site_fract_y
_atom_site_fract_z
Sr1 Sr 0.0000 0.0000 0.0000
Tl1 Tl 0.0000 0.0000 0.7141
Ir1 Ir 0.0000 0.0000 0.3345
```

***

Compound: Sr2TlIr
Source: the Alexandria database
Functional: PBE-GGA
Structure: relaxed

Values from the calculation:
- uncorrected energy (eV/atom) = -3.748

CIF file:
```
data_Sr2TlIr
_cell_length_a 10.8862
_cell_length_b 10.8862
_cell_length_c 5.3295
_cell_angle_alpha 90.00
_cell_angle_beta 90.00
_cell_angle_gamma 90.00
_space_group_name_H-M_alt 'I -4 2 d'
_space_group_IT_number 122
_space_group_name_Hall 'I -4 2bw'
loop_
_atom_site_label
_atom_site_type_symbol
_atom_site_fract_x
_atom_site_fract_y
_atom_site_fract_z
Sr1 Sr 0.0860 0.2500 0.1250
Tl1 Tl 0.0000 0.0000 0.5000
Ir1 Ir 0.0000 0.0000 0.0000
```

***

Compound: SrTl2Ir2
Source: the Alexandria database
Functional: PBE-GGA
Structure: relaxed

Values from the calculation:
- uncorrected energy (eV/atom) = -4.833

CIF file:
```
data_SrTl2Ir2
_cell_length_a 4.6484
_cell_length_b 4.6484
_cell_length_c 11.1867
_cell_angle_alpha 90.00
_cell_angle_beta 90.00
_cell_angle_gamma 90.00
_space_group_name_H-M_alt 'I 4/m m m'
_space_group_IT_number 139
_space_group_name_Hall '-I 4 2'
loop_
_atom_site_label
_atom_site_type_symbol
_atom_site_fract_x
_atom_site_fract_y
_atom_site_fract_z
Sr1 Sr 0.0000 0.0000 0.0000
Tl1 Tl 0.0000 0.5000 0.2500
Ir1 Ir 0.0000 0.0000 0.3920
```

***

Compound: Sr8Tl2Ir
Source: the Alexandria database
Functional: PBE-GGA
Structure: relaxed

Values from the calculation:
- uncorrected energy (eV/atom) = -2.652

CIF file:
```
data_Sr8Tl2Ir
_cell_length_a 14.2098
_cell_length_b 10.5718
_cell_length_c 7.0804
_cell_angle_alpha 90.00
_cell_angle_beta 109.77
_cell_angle_gamma 90.00
_space_group_name_H-M_alt 'C 1 2/m 1'
_space_group_IT_number 12
_space_group_name_Hall '-C 2y'
loop_
_atom_site_label
_atom_site_type_symbol
_atom_site_fract_x
_atom_site_fract_y
_atom_site_fract_z
Sr1 Sr 0.0890 0.0000 0.2998
Sr2 Sr 0.1262 0.5000 0.2487
Sr3 Sr 0.1385 0.3083 0.7491
Tl1 Tl 0.1680 0.0000 0.8883
Ir1 Ir 0.0000 0.5000 0.5000
```

***

Compound: Sr8TlIr2
Source: the Alexandria database
Functional: PBE-GGA
Structure: relaxed

Values from the calculation:
- uncorrected energy (eV/atom) = -3.000

CIF file:
```
data_Sr8TlIr2
_cell_length_a 9.9222
_cell_length_b 9.9222
_cell_length_c 6.1353
_cell_angle_alpha 90.00
_cell_angle_beta 90.00
_cell_angle_gamma 120.00
_space_group_name_H-M_alt 'P -3'
_space_group_IT_number 147
_space_group_name_Hall '-P 3'
loop_
_atom_site_label
_atom_site_type_symbol
_atom_site_fract_x
_atom_site_fract_y
_atom_site_fract_z
Sr1 Sr 0.1704 0.8274 0.2566
Sr2 Sr 0.3333 0.6667 0.7536
Tl1 Tl 0.0000 0.0000 0.0000
Ir1 Ir 0.3333 0.6667 0.2499
```